Below is a relaxed structure of CaPm2MgTl4, with properties calculated at the PBE level.

Unit cell a=9.5291 b=9.5291 c=9.5291 alpha=32.71 beta=32.71 gamma=32.71
Positions (direct):
1 Ca 0.0000 0.0000 0.0000
2 Pm 0.2433 0.2433 0.2433
3 Pm 0.7567 0.7567 0.7567
4 Mg 0.5000 0.5000 0.5000
5 Tl 0.1242 0.1242 0.1242
6 Tl 0.3743 0.3743 0.3743
7 Tl 0.6257 0.6257 0.6257
8 Tl 0.8758 0.8758 0.8758

Formation energy from the elements (meV per atom): -319
Final energy (Ha/atom): -0.115
Calculated volume (Å³/f.u.): 224.8
Space-group type: R-3m